First-principles (PBE-GGA) data for a geometry-optimized BaTlSb2 structure, as listed in Alexandria.

* Fermi-level density of states: 0.4258 states/eV per atom
* excess energy over the best structure of this formula in the dataset: 35 meV/atom
* formation energy from raw total energies: -0.45 eV per atom
* magnetic moment: 0.00 μB/atom

Cell lengths 11.0752, 4.3130, 6.0083 Å; angles 90.00, 108.19, 90.00 degrees
Last column: nearest neighbours and their distance in Å.
Space group Cm (No. 8)
Inequivalent atoms, fractional coordinates:
Ba: 0.0000 0.0000 0.0000  3 Tl 3.55-3.64, 8 Sb 3.64-3.97
Tl: 0.2670 0.5000 0.2940  5 Sb 3.19-3.50, 1 Ba 3.55
Sb: 0.0115 0.5000 0.5198  3 Sb 3.14-3.48, 3 Tl 3.40-3.50
Sb: 0.2287 0.0000 0.6566  3 Sb 3.14-3.48, 2 Tl 3.19



First-principles (PBE-GGA) data for a geometry-optimized Li3AsOs structure, as listed in Alexandria.

* Fermi-level density of states: 1.6061 states/eV per atom
* excess energy over the best structure of this formula in the dataset: 0 meV/atom
* magnetic moment: 0.73 μB/atom

Cell lengths 4.6009, 4.6009, 4.6009 Å; angles 90.00, 90.00, 90.00 degrees
Last column: nearest neighbours and their distance in Å.
Space group Pm-3m (No. 221)
Inequivalent atoms, fractional coordinates:
Li: 0.0000 0.0000 0.5000  2 As 2.30
As: 0.0000 0.0000 0.0000  6 Li 2.30
Os: 0.5000 0.5000 0.5000  12 Li 3.25



First-principles (PBE-GGA) data for a geometry-optimized LiSi4Pt structure, as listed in Alexandria.

* Fermi-level density of states: 0.5052 states/eV per atom
* formation energy from raw total energies: 0.22 eV per atom
* magnetic moment: 0.00 μB/atom

Cell lengths 7.1437, 7.1437, 7.1437 Å; angles 90.00, 90.00, 90.00 degrees
Last column: nearest neighbours and their distance in Å.
Space group F-43m (No. 216)
Inequivalent atoms, fractional coordinates:
Li: 0.0000 0.0000 0.0000  12 Si 2.96, 4 Pt 3.09
Si: 0.1254 0.1254 0.3746  6 Si 2.52-2.53
Pt: 0.2500 0.2500 0.7500  12 Si 2.96, 4 Li 3.09



First-principles (PBE-GGA) data for a geometry-optimized TmZr2AlRu4 structure, as listed in Alexandria.

* Fermi-level density of states: 0.4592 states/eV per atom
* raw total energy: -201.58 eV per cell
* magnetic moment: 0.00 μB/atom

Cell lengths 4.5714, 4.5714, 22.4199 Å; angles 90.00, 90.00, 120.00 degrees
Last column: nearest neighbours and their distance in Å.
Space group R-3m (No. 166, hexagonal axes)
Inequivalent atoms, fractional coordinates:
Tm: 0.0000 0.0000 0.0000  8 Ru 2.83-2.84
Zr: 0.0000 0.0000 0.2446  7 Ru 2.64-2.81
Al: 0.0000 0.0000 0.5000  8 Ru 2.71-2.79
Ru: 0.0000 0.0000 0.1267  4 Zr 2.64-2.77, 3 Al 2.79, 1 Tm 2.84
Ru: 0.0000 0.0000 0.3793  1 Al 2.71, 4 Zr 2.81-3.02, 3 Tm 2.83



The lowest Fermi-level density of states belongs to which entry?
BaTlSb2



Please write out number 2 again, unchanged.
First-principles (PBE-GGA) data for a geometry-optimized Li3AsOs structure, as listed in Alexandria.

* Fermi-level density of states: 1.6061 states/eV per atom
* excess energy over the best structure of this formula in the dataset: 0 meV/atom
* magnetic moment: 0.73 μB/atom

Cell lengths 4.6009, 4.6009, 4.6009 Å; angles 90.00, 90.00, 90.00 degrees
Last column: nearest neighbours and their distance in Å.
Space group Pm-3m (No. 221)
Inequivalent atoms, fractional coordinates:
Li: 0.0000 0.0000 0.5000  2 As 2.30
As: 0.0000 0.0000 0.0000  6 Li 2.30
Os: 0.5000 0.5000 0.5000  12 Li 3.25